(1)
Entry from the Alexandria database: a relaxed structure of GaPd6Pb3 (PBE).

```
GaPd6Pb3
1.0
4.249 -5.460 0.000
4.249 5.460 0.000
0.000 0.000 8.605
Ga Pd Pb
2 12 6
direct
0.154 0.846 0.500
0.846 0.154 0.000
0.011 0.989 0.752
0.085 0.587 0.723
0.246 0.754 0.234
0.315 0.357 0.226
0.357 0.315 0.726
0.413 0.915 0.723
0.587 0.085 0.223
0.643 0.685 0.226
0.685 0.643 0.726
0.754 0.246 0.734
0.915 0.413 0.223
0.989 0.011 0.252
0.085 0.314 0.496
0.314 0.085 0.996
0.393 0.607 0.958
0.607 0.393 0.458
0.686 0.915 0.496
0.915 0.686 0.996
```

Spin magnetization ... 0.0000 μB per atom
ΔE_f ... -0.205 eV/atom
Theoretical density ... 11.1 Mg/m³

---

(2)
Entry from the Alexandria database: a relaxed structure of GaPd2Pb (PBE).

```
GaPd2Pb
1.0
0.000 3.308 3.308
3.308 0.000 3.308
3.308 3.308 0.000
Ga Pd Pb
1 2 1
direct
0.000 0.000 0.000
0.250 0.250 0.250
0.750 0.750 0.750
0.500 0.500 0.500
```

Spin magnetization ... 0.0000 μB per atom
ΔE_f ... -0.251 eV/atom
Theoretical density ... 11.2 Mg/m³

---

(3)
Entry from the Alexandria database: a relaxed structure of GaPd4Pb (PBE).

```
GaPd4Pb
1.0
7.117 0.000 0.000
0.000 3.535 0.000
0.000 0.000 16.378
Ga Pd Pb
4 16 4
direct
0.246 0.250 0.054
0.254 0.750 0.554
0.746 0.250 0.446
0.754 0.750 0.946
0.004 0.750 0.435
0.061 0.750 0.702
0.127 0.750 0.951
0.129 0.750 0.151
0.371 0.250 0.651
0.373 0.250 0.451
0.439 0.250 0.202
0.496 0.250 0.935
0.504 0.750 0.065
0.561 0.750 0.798
0.627 0.750 0.549
0.629 0.750 0.349
0.871 0.250 0.849
0.873 0.250 0.049
0.939 0.250 0.298
0.996 0.250 0.565
0.242 0.250 0.812
0.258 0.750 0.312
0.742 0.250 0.688
0.758 0.750 0.188
```

Spin magnetization ... 0.0000 μB per atom
ΔE_f ... -0.411 eV/atom
Theoretical density ... 11.3 Mg/m³

---

(4)
Entry from the Alexandria database: a relaxed structure of GaPd6Pb2 (PBE).

```
GaPd6Pb2
1.0
6.582 -3.579 0.000
6.582 3.579 0.000
-1.148 0.000 3.730
Ga Pd Pb
1 6 2
direct
0.000 0.000 0.000
0.050 0.620 0.835
0.217 0.783 0.500
0.380 0.950 0.165
0.620 0.050 0.835
0.783 0.217 0.500
0.950 0.380 0.165
0.349 0.349 0.349
0.651 0.651 0.651
```

Spin magnetization ... 0.0000 μB per atom
ΔE_f ... -0.257 eV/atom
Theoretical density ... 10.6 Mg/m³